[1]
Computed, not measured: crystalline NaAs2N at its relaxed geometry at the GGA-PBEsol level of DFT.

Unit cell a=5.769 b=5.769 c=5.769 alpha=103.86 beta=112.35 gamma=112.35
Fractional coordinates of all 8 atoms:
As (0.386, 0.511, 0.625)
As (0.614, 0.239, 0.125)
As (0.886, 0.375, 0.761)
As (0.114, 0.875, 0.489)
Na (0.500, 0.750, 0.250)
Na (0.000, 0.000, 0.000)
N (0.500, 0.250, 0.750)
N (0.000, 0.500, 0.500)

Computed properties:
ρ   4.23 g cm⁻³
SG   I-42d
Energy relative to the elements, uncorrected   1.47 eV/f.u.
DOS(E_F)   1.65 states/eV per cell


[2]
Computed, not measured: crystalline KMnZn2 at its relaxed geometry at the GGA-PBEsol level of DFT.

Unit cell a=2.980 b=2.980 c=9.796 alpha=81.25 beta=81.25 gamma=60.00
Each line ends with the local moment (μB).
Fractional coordinates of all 4 atoms:
K (0.500, 0.500, 0.500)  0.00
Zn (0.266, 0.266, 0.203)  -0.04
Zn (0.734, 0.734, 0.797)  -0.04
Mn (0.000, 0.000, 0.000)  3.33

Computed properties:
ρ   5.04 g cm⁻³
SG   R-3m
ΔE to the lowest computed polymorph   30 meV per atom
Formation energy from the elements   2.12 eV per formula unit
DOS(E_F)   1.76 states/eV per cell